Record 1
Material: PuMgBr4
Method: DFT, GGA-PBE
State: relaxed

Geometry as CIF:
```
data_PuMgBr4
_cell_length_a 3.917
_cell_length_b 7.427
_cell_length_c 14.046
_cell_angle_alpha 91.92
_cell_angle_beta 90.00
_cell_angle_gamma 90.00
_symmetry_space_group_name_H-M 'P 1'
_symmetry_Int_Tables_number 1
_symmetry_space_group_name_Hall 'P 1'
loop_
_atom_site_label
_atom_site_type_symbol
_atom_site_fract_x
_atom_site_fract_y
_atom_site_fract_z
Pu1 Pu 0.000 0.000 0.500
Pu2 Pu 0.500 0.500 0.000
Mg1 Mg 0.500 0.500 0.500
Mg2 Mg 0.000 0.000 0.000
Br1 Br 0.500 0.202 0.383
Br2 Br 0.000 0.298 0.117
Br3 Br 0.500 0.798 0.617
Br4 Br 0.000 0.702 0.883
Br5 Br 0.000 0.643 0.391
Br6 Br 0.500 0.857 0.109
Br7 Br 0.000 0.357 0.609
Br8 Br 0.500 0.143 0.891
```

**Final energy**: -62.16 eV for the cell shown
**V**: 408 Å³ per cell

***

Record 2
Material: PuMgBr4
Method: DFT, GGA-PBE
State: relaxed

Geometry as CIF:
```
data_PuMgBr4
_cell_length_a 3.911
_cell_length_b 7.431
_cell_length_c 6.974
_cell_angle_alpha 85.76
_cell_angle_beta 90.00
_cell_angle_gamma 90.00
_symmetry_space_group_name_H-M 'P 1'
_symmetry_Int_Tables_number 1
_symmetry_space_group_name_Hall 'P 1'
loop_
_atom_site_label
_atom_site_type_symbol
_atom_site_fract_x
_atom_site_fract_y
_atom_site_fract_z
Pu1 Pu 0.000 0.000 0.000
Mg1 Mg 0.500 0.500 0.000
Br1 Br 0.000 0.365 0.782
Br2 Br 0.500 0.192 0.238
Br3 Br 0.500 0.808 0.762
Br4 Br 0.000 0.635 0.218
```

**Final energy**: -31.08 eV for the cell shown
**V**: 202 Å³ per cell

***

Record 3
Material: RbPuMg2Br8
Method: DFT, GGA-PBE
State: relaxed

Geometry as CIF:
```
data_RbPuMg2Br8
_cell_length_a 6.939
_cell_length_b 7.069
_cell_length_c 9.657
_cell_angle_alpha 76.52
_cell_angle_beta 77.93
_cell_angle_gamma 77.09
_symmetry_space_group_name_H-M 'P 1'
_symmetry_Int_Tables_number 1
_symmetry_space_group_name_Hall 'P 1'
loop_
_atom_site_label
_atom_site_type_symbol
_atom_site_fract_x
_atom_site_fract_y
_atom_site_fract_z
Rb1 Rb 0.000 0.000 0.500
Pu1 Pu 0.000 0.000 0.000
Mg1 Mg 0.461 0.450 0.711
Mg2 Mg 0.539 0.550 0.289
Br1 Br 0.181 0.715 0.231
Br2 Br 0.711 0.753 0.045
Br3 Br 0.755 0.220 0.213
Br4 Br 0.819 0.285 0.769
Br5 Br 0.289 0.247 0.955
Br6 Br 0.245 0.780 0.787
Br7 Br 0.637 0.694 0.479
Br8 Br 0.363 0.306 0.521
```

**Final energy**: -49.59 eV for the cell shown
**V**: 443 Å³ per cell

***

Record 4
Material: PuMgTlBr6
Method: DFT, GGA-PBE
State: relaxed

Geometry as CIF:
```
data_PuMgTlBr6
_cell_length_a 7.306
_cell_length_b 7.306
_cell_length_c 14.393
_cell_angle_alpha 90.00
_cell_angle_beta 90.00
_cell_angle_gamma 120.00
_symmetry_space_group_name_H-M 'P 1'
_symmetry_Int_Tables_number 1
_symmetry_space_group_name_Hall 'P 1'
loop_
_atom_site_label
_atom_site_type_symbol
_atom_site_fract_x
_atom_site_fract_y
_atom_site_fract_z
Pu1 Pu 0.667 0.333 0.250
Pu2 Pu 0.333 0.667 0.750
Mg1 Mg 0.333 0.667 0.250
Mg2 Mg 0.667 0.333 0.750
Tl1 Tl 0.000 0.000 0.000
Tl2 Tl 0.000 0.000 0.500
Br1 Br 0.621 0.640 0.141
Br2 Br 0.019 0.379 0.141
Br3 Br 0.379 0.019 0.641
Br4 Br 0.981 0.621 0.859
Br5 Br 0.360 0.379 0.359
Br6 Br 0.019 0.640 0.359
Br7 Br 0.640 0.019 0.859
Br8 Br 0.621 0.981 0.359
Br9 Br 0.981 0.360 0.641
Br10 Br 0.360 0.981 0.141
Br11 Br 0.640 0.621 0.641
Br12 Br 0.379 0.360 0.859
```

**Final energy**: -81.04 eV for the cell shown
**V**: 665 Å³ per cell

***

Record 5
Material: RbMgBr3
Method: DFT, GGA-PBE
State: relaxed

Geometry as CIF:
```
data_RbMgBr3
_cell_length_a 5.394
_cell_length_b 5.394
_cell_length_c 5.394
_cell_angle_alpha 90.00
_cell_angle_beta 90.00
_cell_angle_gamma 90.00
_symmetry_space_group_name_H-M 'P 1'
_symmetry_Int_Tables_number 1
_symmetry_space_group_name_Hall 'P 1'
loop_
_atom_site_label
_atom_site_type_symbol
_atom_site_fract_x
_atom_site_fract_y
_atom_site_fract_z
Mg1 Mg 0.000 0.000 0.000
Br1 Br 0.000 0.500 0.000
Br2 Br 0.000 0.000 0.500
Br3 Br 0.500 0.000 0.000
Rb1 Rb 0.500 0.500 0.500
```

**Final energy**: -15.40 eV for the cell shown
**V**: 157 Å³ per cell

***

Record 6
Material: Rb2MgBr7
Method: DFT, GGA-PBE
State: relaxed

Geometry as CIF:
```
data_Rb2MgBr7
_cell_length_a 8.386
_cell_length_b 8.386
_cell_length_c 8.051
_cell_angle_alpha 58.61
_cell_angle_beta 58.61
_cell_angle_gamma 90.00
_symmetry_space_group_name_H-M 'P 1'
_symmetry_Int_Tables_number 1
_symmetry_space_group_name_Hall 'P 1'
loop_
_atom_site_label
_atom_site_type_symbol
_atom_site_fract_x
_atom_site_fract_y
_atom_site_fract_z
Mg1 Mg 0.500 0.500 0.000
Br1 Br 0.000 0.000 0.000
Br2 Br 0.232 0.232 0.537
Br3 Br 0.768 0.768 0.463
Br4 Br 0.282 0.282 0.000
Br5 Br 0.718 0.718 0.000
Br6 Br 0.718 0.282 0.000
Br7 Br 0.282 0.718 0.000
Rb1 Rb 0.750 0.250 0.500
Rb2 Rb 0.250 0.750 0.500
```

**Final energy**: -25.24 eV for the cell shown
**V**: 383 Å³ per cell

***

Record 7
Material: RbMg3Br
Method: DFT, GGA-PBE
State: relaxed

Geometry as CIF:
```
data_RbMg3Br
_cell_length_a 7.112
_cell_length_b 7.112
_cell_length_c 7.112
_cell_angle_alpha 90.00
_cell_angle_beta 90.00
_cell_angle_gamma 90.00
_symmetry_space_group_name_H-M 'P 1'
_symmetry_Int_Tables_number 1
_symmetry_space_group_name_Hall 'P 1'
loop_
_atom_site_label
_atom_site_type_symbol
_atom_site_fract_x
_atom_site_fract_y
_atom_site_fract_z
Mg1 Mg 0.000 0.500 0.000
Mg2 Mg 0.000 0.000 0.500
Mg3 Mg 0.500 0.000 0.000
Br1 Br 0.500 0.500 0.500
Rb1 Rb 0.000 0.000 0.000
```

**Final energy**: -4.48 eV for the cell shown
**Energy above the lowest structure with this stoichiometry**: 379.7 meV per atom
**V**: 360 Å³ per cell

***

Record 8
Material: RbMgBr2
Method: DFT, GGA-PBE
State: relaxed

Geometry as CIF:
```
data_RbMgBr2
_cell_length_a 7.006
_cell_length_b 7.006
_cell_length_c 9.004
_cell_angle_alpha 67.10
_cell_angle_beta 67.10
_cell_angle_gamma 90.00
_symmetry_space_group_name_H-M 'P 1'
_symmetry_Int_Tables_number 1
_symmetry_space_group_name_Hall 'P 1'
loop_
_atom_site_label
_atom_site_type_symbol
_atom_site_fract_x
_atom_site_fract_y
_atom_site_fract_z
Mg1 Mg 0.500 0.500 0.000
Mg2 Mg 0.250 0.750 0.500
Br1 Br 0.539 0.125 0.250
Br2 Br 0.211 0.625 0.250
Br3 Br 0.375 0.461 0.750
Br4 Br 0.875 0.789 0.750
Rb1 Rb 0.000 0.000 0.000
Rb2 Rb 0.750 0.250 0.500
```

**Final energy**: -20.55 eV for the cell shown
**Energy above the lowest structure with this stoichiometry**: 0.0 meV per atom
**V**: 369 Å³ per cell

***

Number 1: magnetization 12.0 μB per cell, formation energy from raw total energies -8.5 eV/f.u.. Number 2: magnetization 6.0 μB per cell, formation energy from raw total energies -8.5 eV/f.u.. Number 3: magnetization 5.0 μB per cell, formation energy from raw total energies -17.7 eV/f.u.. Number 4: magnetization 10.0 μB per cell, formation energy from raw total energies -12.2 eV/f.u.. Number 5: magnetization 0.0 μB per cell, formation energy from raw total energies -7.8 eV/f.u.. Number 6: magnetization 0.0 μB per cell, formation energy from raw total energies -10.0 eV/f.u.. Number 7: magnetization 0.0 μB per cell, formation energy from raw total energies 2.9 eV/f.u.. Number 8: magnetization 0.0 μB per cell, formation energy from raw total energies -4.4 eV/f.u..